1.
Below is an optimized crystal structure of CsRbNiF6, with properties calculated at the PBE+U level.

Fermi-level density of states	0.0	states/eV/f.u.
space group	P3m1
raw total energy	-0.2852	Ry/atom

Cell lengths 5.997, 5.997, 5.147 Å; angles 90.00, 90.00, 120.00 degrees
Fractional positions:
Cs 0.000 0.000 0.000
Rb 0.667 0.333 0.566
Ni 0.333 0.667 0.324
F 0.045 0.523 0.126
F 0.190 0.380 0.523
F 0.190 0.810 0.523
F 0.477 0.523 0.126
F 0.477 0.955 0.126
F 0.620 0.810 0.523

2.
Below is an optimized crystal structure of TlCdCo2F8, with properties calculated at the PBE+U level.

Fermi-level density of states	2.7	states/eV/f.u.
space group	P2/m
raw total energy	-0.3218	Ry/atom

Cell lengths 5.096, 6.777, 5.129 Å; angles 90.00, 90.03, 90.00 degrees
Fractional positions:
Tl 0.000 0.000 0.000
Cd 0.000 0.500 0.000
Co 0.500 0.256 0.500
Co 0.500 0.744 0.500
F 0.225 0.263 0.780
F 0.225 0.737 0.780
F 0.316 0.500 0.320
F 0.326 0.000 0.331
F 0.674 0.000 0.669
F 0.684 0.500 0.680
F 0.775 0.263 0.220
F 0.775 0.737 0.220

What did the first record say?
Below is an optimized crystal structure of CsRbNiF6, with properties calculated at the PBE+U level.

Fermi-level density of states	0.0	states/eV/f.u.
space group	P3m1
raw total energy	-0.2852	Ry/atom

Cell lengths 5.997, 5.997, 5.147 Å; angles 90.00, 90.00, 120.00 degrees
Fractional positions:
Cs 0.000 0.000 0.000
Rb 0.667 0.333 0.566
Ni 0.333 0.667 0.324
F 0.045 0.523 0.126
F 0.190 0.380 0.523
F 0.190 0.810 0.523
F 0.477 0.523 0.126
F 0.477 0.955 0.126
F 0.620 0.810 0.523

Copy entry 2 word for word.
Below is an optimized crystal structure of TlCdCo2F8, with properties calculated at the PBE+U level.

Fermi-level density of states	2.7	states/eV/f.u.
space group	P2/m
raw total energy	-0.3218	Ry/atom

Cell lengths 5.096, 6.777, 5.129 Å; angles 90.00, 90.03, 90.00 degrees
Fractional positions:
Tl 0.000 0.000 0.000
Cd 0.000 0.500 0.000
Co 0.500 0.256 0.500
Co 0.500 0.744 0.500
F 0.225 0.263 0.780
F 0.225 0.737 0.780
F 0.316 0.500 0.320
F 0.326 0.000 0.331
F 0.674 0.000 0.669
F 0.684 0.500 0.680
F 0.775 0.263 0.220
F 0.775 0.737 0.220

Q: Number 2 is which compound?
A: TlCdCo2F8